Entry 1:
The following is a DFT calculation (PBE) of crystalline KInSn2I8 at its relaxed geometry.

The structure in POSCAR format:
```
KInSn2I8
1.0
7.2687 0.0000 0.0000
0.2187 7.6866 0.0000
0.0185 0.0000 9.5434
K In Sn I
1 1 2 8
direct
0.0000 0.0000 0.0000 K
0.0000 0.0000 0.5000 In
0.4997 0.5005 0.2550 Sn
0.5003 0.4995 0.7450 Sn
0.2349 0.3248 0.5004 I
0.2431 0.8461 0.7175 I
0.2446 0.8470 0.2815 I
0.2769 0.3600 0.0003 I
0.7231 0.6400 0.9997 I
0.7554 0.1530 0.7185 I
0.7569 0.1539 0.2825 I
0.7651 0.6752 0.4996 I
```

Formation energy (no corrections)   -0.601 eV/atom

=====

Entry 2:
The following is a DFT calculation (PBE) of crystalline K2InSnI6 at its relaxed geometry.

The structure in POSCAR format:
```
K2InSnI6
1.0
4.2500 2.4537 7.2809
-4.2500 2.4537 7.2809
0.0000 -4.9074 7.2809
K In Sn I
2 1 1 6
direct
0.0000 0.0000 0.0000 K
0.4996 0.4996 0.4996 K
0.2900 0.2900 0.2900 In
0.7905 0.7905 0.7905 Sn
0.0500 0.6356 0.4489 I
0.1375 0.5492 0.9488 I
0.4489 0.0500 0.6356 I
0.5492 0.9488 0.1375 I
0.6356 0.4489 0.0500 I
0.9488 0.1375 0.5492 I
```

Formation energy (no corrections)   -0.857 eV/atom